The following is a GGA-PBE calculation of YAg2As after structural relaxation, from OQMD.

Properties
theoretical density: 7.74 Mg/m³
V: 20.3 Å³/atom
total magnetization: 0.0 μB per formula unit
DFT total energy: -4.59 eV per atom

CIF file:
```
data_YAg2As
_chemical_formula_sum 'Y4 Ag8 As4'
_space_group_name_H-M_alt 'F -4 3 m'
_space_group_IT_number 216
_space_group_name_Hall 'F -4 2 3'
_cell_length_a 6.879
_cell_length_b 6.879
_cell_length_c 6.879
_cell_angle_alpha 90.00
_cell_angle_beta 90.00
_cell_angle_gamma 90.00
loop_
_atom_site_label
_atom_site_type_symbol
_atom_site_fract_x
_atom_site_fract_y
_atom_site_fract_z
_atom_site_occupancy
Y1 Y 0.000 0.000 0.000 1
Ag1 Ag 0.000 0.000 0.500 1
Ag2 Ag 0.250 0.250 0.250 1
As1 As 0.250 0.250 0.750 1
```